DFT (GGA+U) results for a relaxed structure of VZn2RhF.

a b c (Å): 4.776 4.776 4.782
angles (deg): 90.00 90.00 90.00
Space group P4/mmm (No. 123)
One atom of each set of equivalent atoms:
V (0.000, 0.000, 0.000) [1 per cell]
Zn (0.000, 0.500, 0.500) [2 per cell]
Rh (0.000, 0.000, 0.500) [1 per cell]
F (0.500, 0.500, 0.000) [1 per cell]

## Properties
Its spin magnetization is 2.67 μB per formula unit. The calculation puts the density of states at the Fermi level at 1.66 states/eV/cell. Its total energy is -3.6584 eV per atom.